Compound: YCr4Hg
Source: Alexandria via LeMat-Bulk
Functional: GGA-PBE
Structure: optimized geometry

Calculated values
The density of states at the Fermi level comes out at 8.94 states/eV/f.u. For the total energy, the calculation gives -7.129 eV per atom.

a b c (Å): 7.208 7.208 7.208
angles (deg): 90.00 90.00 90.00
Space group F-43m (No. 216)
Symmetry-distinct sites (fractional):
Y  0.000  0.000  0.000 [4 per cell]
Cr  0.124  0.124  0.624 [16 per cell]
Hg  0.250  0.250  0.250 [4 per cell]



Compound: Tm2ZrUAs4
Source: Alexandria via LeMat-Bulk
Functional: GGA-PBE
Structure: optimized geometry

Calculated values
The density of states at the Fermi level comes out at 6.97 states/eV/f.u. For the total energy, the calculation gives -7.126 eV per atom.

a b c (Å): 6.926 4.003 6.984
angles (deg): 90.00 109.11 90.00
Space group P2/m (No. 10)
Symmetry-distinct sites (fractional):
Tm  0.000  0.000  0.000 [1 per cell]
Tm  0.500  0.500  0.000 [1 per cell]
Zr  0.000  0.500  0.500 [1 per cell]
U  0.500  0.000  0.500 [1 per cell]
As  0.244  0.000  0.743 [2 per cell]
As  0.245  0.500  0.251 [2 per cell]



Compound: La2TcSe
Source: Alexandria via LeMat-Bulk
Functional: GGA-PBE
Structure: optimized geometry

Calculated values
As for the uncorrected formation energy: -0.5128 eV per atom. The density of states at the Fermi level comes out at 2.97 states/eV/f.u.

a b c (Å): 4.4204 4.4204 21.2919
angles (deg): 90.00 90.00 120.00
Space group R3m (No. 160, hexagonal axes)
Symmetry-distinct sites (fractional):
La  0.0000  0.0000  0.0000 [3 per cell]
La  0.0000  0.0000  0.1627 [3 per cell]
Tc  0.0000  0.0000  0.7418 [3 per cell]
Se  0.0000  0.0000  0.4208 [3 per cell]



Compound: V3AsPt
Source: Alexandria via LeMat-Bulk
Functional: GGA-PBE
Structure: optimized geometry

Calculated values
The calculation puts the energy above the most stable polymorph in this dataset at 143 kJ/mol of formula units. The density of states at the Fermi level comes out at 7.10 states/eV/f.u.

a b c (Å): 4.724 4.724 4.724
angles (deg): 90.00 90.00 90.00
Space group Pm-3m (No. 221)
Symmetry-distinct sites (fractional):
V  0.000  0.000  0.500 [3 per cell]
As  0.500  0.500  0.500 [1 per cell]
Pt  0.000  0.000  0.000 [1 per cell]



Compound: MgMo2Pt
Source: Alexandria via LeMat-Bulk
Functional: GGA-PBE
Structure: optimized geometry

Calculated values
The density of states at the Fermi level comes out at 3.04 states/eV/f.u. For the total energy, the calculation gives -7.326 eV per atom.

a b c (Å): 3.338 4.596 8.530
angles (deg): 90.00 90.00 90.00
Space group Imm2 (No. 44)
Symmetry-distinct sites (fractional):
Mg  0.000  0.000  0.000 [2 per cell]
Mo  0.000  0.000  0.488 [2 per cell]
Mo  0.000  0.500  0.772 [2 per cell]
Pt  0.000  0.500  0.247 [2 per cell]



Compound: CaSe2O6
Source: Alexandria via LeMat-Bulk
Functional: GGA-PBE
Structure: optimized geometry

Calculated values
The calculation puts the energy above the most stable polymorph in this dataset at 95 kJ/mol of formula units. As for the uncorrected formation energy: -1.1924 eV per atom. The density of states at the Fermi level comes out at 3.35 states/eV/f.u.

a b c (Å): 10.790 9.430 6.914
angles (deg): 90.00 116.20 90.00
Space group C2/c (No. 15)
Symmetry-distinct sites (fractional):
Ca  0.000  0.100  0.250 [4 per cell]
Se  0.192  0.433  0.241 [8 per cell]
O  0.133  0.058  0.633 [8 per cell]
O  0.140  0.487  0.484 [8 per cell]
O  0.149  0.262  0.208 [8 per cell]



Compound: Mg5SbPd8
Source: Alexandria via LeMat-Bulk
Functional: GGA-PBE
Structure: optimized geometry

Calculated values
As for the uncorrected formation energy: -0.5057 eV per atom. The density of states at the Fermi level comes out at 6.25 states/eV/f.u.

a b c (Å): 7.781 7.781 7.933
angles (deg): 90.00 90.00 90.00
Space group I-4 (No. 82)
Symmetry-distinct sites (fractional):
Mg  0.000  0.000  0.000 [2 per cell]
Mg  0.125  0.771  0.404 [8 per cell]
Sb  0.000  0.500  0.750 [2 per cell]
Pd  0.074  0.668  0.084 [8 per cell]
Pd  0.084  0.828  0.737 [8 per cell]



Compound: Ba2AlH7
Source: Alexandria via LeMat-Bulk
Functional: GGA-PBE
Structure: optimized geometry

Calculated values
The density of states at the Fermi level comes out at 0.00 states/eV/f.u. For the total energy, the calculation gives -3.538 eV per atom.

a b c (Å): 14.163 10.183 8.494
angles (deg): 90.00 114.85 90.00
Space group C2/c (No. 15)
Symmetry-distinct sites (fractional):
Ba  0.093  0.165  0.018 [8 per cell]
Ba  0.143  0.425  0.477 [8 per cell]
Al  0.176  0.144  0.700 [8 per cell]
H  0.058  0.397  0.125 [8 per cell]
H  0.081  0.043  0.717 [8 per cell]
H  0.100  0.152  0.475 [8 per cell]
H  0.101  0.281  0.721 [8 per cell]
H  0.234  0.252  0.327 [8 per cell]
H  0.242  0.004  0.684 [8 per cell]
H  0.250  0.145  0.923 [8 per cell]



Compound: LaPbAu
Source: Alexandria via LeMat-Bulk
Functional: GGA-PBE
Structure: optimized geometry

Calculated values
The density of states at the Fermi level comes out at 1.91 states/eV/f.u. For the total energy, the calculation gives -4.502 eV per atom.

a b c (Å): 3.724 3.724 12.109
angles (deg): 90.00 90.00 90.00
Space group I4mm (No. 107)
Symmetry-distinct sites (fractional):
La  0.000  0.000  0.000 [2 per cell]
Pb  0.000  0.000  0.294 [2 per cell]
Au  0.000  0.000  0.638 [2 per cell]



Compound: La2Pr12Sm5
Source: Alexandria via LeMat-Bulk
Functional: GGA-PBE
Structure: optimized geometry

Calculated values
The calculation puts the energy above the most stable polymorph in this dataset at 0 kJ/mol of formula units. The density of states at the Fermi level comes out at 27.45 states/eV/f.u.

a b c (Å): 18.412 11.938 6.354
angles (deg): 90.00 102.90 90.00
Space group C2/m (No. 12)
Symmetry-distinct sites (fractional):
La  0.000  0.224  0.000 [4 per cell]
Pr  0.056  0.500  0.275 [4 per cell]
Pr  0.103  0.253  0.615 [8 per cell]
Pr  0.123  0.000  0.993 [4 per cell]
Pr  0.200  0.258  0.204 [8 per cell]
Sm  0.000  0.000  0.500 [2 per cell]
Sm  0.177  0.500  0.857 [4 per cell]
Sm  0.213  0.000  0.545 [4 per cell]



Compound: Rb2YVS4
Source: Alexandria via LeMat-Bulk
Functional: GGA-PBE
Structure: optimized geometry

Calculated values
As for the uncorrected formation energy: -1.2695 eV per atom.

a b c (Å): 7.313 7.313 9.660
angles (deg): 90.00 90.00 90.00
Space group I-4 (No. 82)
Symmetry-distinct sites (fractional):
Rb  0.000  0.000  0.000 [2 per cell]
Rb  0.000  0.500  0.250 [2 per cell]
Y  0.000  0.000  0.500 [2 per cell]
V  0.000  0.500  0.750 [2 per cell]
S  0.152  0.730  0.633 [8 per cell]



Compound: SmHoTh2P4
Source: Alexandria via LeMat-Bulk
Functional: GGA-PBE
Structure: optimized geometry

Calculated values
The density of states at the Fermi level comes out at 3.85 states/eV/f.u. For the total energy, the calculation gives -7.299 eV per atom.

a b c (Å): 7.066 4.107 7.115
angles (deg): 90.00 109.67 90.00
Space group P2/m (No. 10)
Symmetry-distinct sites (fractional):
Sm  0.000  0.000  0.000 [1 per cell]
Ho  0.000  0.500  0.500 [1 per cell]
Th  0.500  0.000  0.500 [1 per cell]
Th  0.500  0.500  0.000 [1 per cell]
P  0.245  0.000  0.745 [2 per cell]
P  0.247  0.500  0.252 [2 per cell]



Compound: CaAcTl4
Source: Alexandria via LeMat-Bulk
Functional: GGA-PBE
Structure: optimized geometry

Calculated values
The calculation puts the energy above the most stable polymorph in this dataset at 0 kJ/mol of formula units. The density of states at the Fermi level comes out at 5.00 states/eV/f.u.

a b c (Å): 9.230 5.152 7.893
angles (deg): 90.00 91.18 90.00
Space group C2/m (No. 12)
Symmetry-distinct sites (fractional):
Ca  0.000  0.000  0.000 [2 per cell]
Ac  0.000  0.000  0.500 [2 per cell]
Tl  0.166  0.500  0.286 [4 per cell]
Tl  0.167  0.500  0.822 [4 per cell]



Compound: Ac2NiAg5
Source: Alexandria via LeMat-Bulk
Functional: GGA-PBE
Structure: optimized geometry

Calculated values
The density of states at the Fermi level comes out at 4.06 states/eV/f.u. For the total energy, the calculation gives -3.690 eV per atom.

a b c (Å): 4.531 17.200 9.969
angles (deg): 90.00 90.00 90.00
Space group Cmcm (No. 63)
Symmetry-distinct sites (fractional):
Ac  0.000  0.000  0.000 [4 per cell]
Ac  0.000  0.192  0.250 [4 per cell]
Ni  0.000  0.438  0.750 [4 per cell]
Ag  0.000  0.188  0.611 [8 per cell]
Ag  0.000  0.356  0.527 [8 per cell]
Ag  0.000  0.407  0.250 [4 per cell]



Compound: LaMgCoPb2
Source: Alexandria via LeMat-Bulk
Functional: GGA-PBE
Structure: optimized geometry

Calculated values
The density of states at the Fermi level comes out at 9.54 states/eV/f.u. For the total energy, the calculation gives -2.638 eV per atom.

a b c (Å): 6.056 6.056 5.984
angles (deg): 90.00 90.00 90.00
Space group P4/mmm (No. 123)
Symmetry-distinct sites (fractional):
La  0.000  0.000  0.000 [1 per cell]
Mg  0.000  0.000  0.500 [1 per cell]
Co  0.500  0.500  0.500 [1 per cell]
Pb  0.000  0.500  0.000 [2 per cell]



Compound: RbPmPdF6
Source: Alexandria via LeMat-Bulk
Functional: GGA-PBE
Structure: optimized geometry

Calculated values
As for the uncorrected formation energy: -2.7411 eV per atom. The density of states at the Fermi level comes out at 0.07 states/eV/f.u.

a b c (Å): 8.016 8.500 11.611
angles (deg): 90.00 90.00 90.00
Space group Imma (No. 74)
Symmetry-distinct sites (fractional):
Rb  0.000  0.250  0.048 [4 per cell]
Pm  0.000  0.000  0.500 [4 per cell]
Pd  0.250  0.250  0.750 [4 per cell]
F  0.000  0.250  0.427 [4 per cell]
F  0.000  0.250  0.818 [4 per cell]
F  0.215  0.066  0.616 [16 per cell]



Compound: RbBa2P
Source: Alexandria via LeMat-Bulk
Functional: GGA-PBE
Structure: optimized geometry

Calculated values
The density of states at the Fermi level comes out at 3.10 states/eV/f.u. For the total energy, the calculation gives -3.164 eV per atom.

a b c (Å): 4.7026 4.7026 36.8113
angles (deg): 90.00 90.00 120.00
Space group R3m (No. 160, hexagonal axes)
Symmetry-distinct sites (fractional):
Rb  0.0000  0.0000  0.0000 [3 per cell]
Ba  0.0000  0.0000  0.5457 [3 per cell]
Ba  0.0000  0.0000  0.7865 [3 per cell]
P  0.0000  0.0000  0.1661 [3 per cell]



Compound: ErScNi2
Source: Alexandria via LeMat-Bulk
Functional: GGA-PBE
Structure: optimized geometry

Calculated values
The calculation puts the energy above the most stable polymorph in this dataset at 0 kJ/mol of formula units. The density of states at the Fermi level comes out at 3.01 states/eV/f.u.

a b c (Å): 4.096 3.590 9.842
angles (deg): 90.00 90.00 90.00
Space group Amm2 (No. 38)
Symmetry-distinct sites (fractional):
Er  0.000  0.000  0.000 [2 per cell]
Sc  0.500  0.000  0.719 [2 per cell]
Ni  0.000  0.000  0.280 [2 per cell]
Ni  0.500  0.000  0.427 [2 per cell]



Compound: K2CaAl
Source: Alexandria via LeMat-Bulk
Functional: GGA-PBE
Structure: optimized geometry

Calculated values
The density of states at the Fermi level comes out at 3.99 states/eV/f.u. For the total energy, the calculation gives -1.620 eV per atom.

a b c (Å): 4.073 5.894 7.044
angles (deg): 90.00 90.00 90.00
Space group Pmmm (No. 47)
Symmetry-distinct sites (fractional):
K  0.000  0.000  0.228 [2 per cell]
Ca  0.500  0.500  0.500 [1 per cell]
Al  0.500  0.500  0.000 [1 per cell]



Compound: ErTmTe3
Source: Alexandria via LeMat-Bulk
Functional: GGA-PBE
Structure: optimized geometry

Calculated values
The calculation puts the energy above the most stable polymorph in this dataset at 16 kJ/mol of formula units. As for the uncorrected formation energy: -1.3035 eV per atom. The density of states at the Fermi level comes out at 0.18 states/eV/f.u.

a b c (Å): 4.177 14.049 10.737
angles (deg): 90.00 90.00 90.00
Space group Cmcm (No. 63)
Symmetry-distinct sites (fractional):
Er  0.000  0.000  0.000 [4 per cell]
Tm  0.000  0.245  0.250 [4 per cell]
Te  0.000  0.098  0.750 [4 per cell]
Te  0.000  0.352  0.569 [8 per cell]